Compound: MnGaCoSe2
Source: the Alexandria database
Functional: GGA-PBE
Structure: optimized geometry

- ΔE_f (raw) (meV/atom) = -148.6
- space group = Cm (8)
- total magnetic moment (μB per cell) = 5.032
- DFT total energy (eV/atom) = -5.40

Geometry as extended XYZ:
```
10
Lattice="4.829 0.000 -0.145 0.000 3.499 0.000 -4.612 0.000 10.757" Properties=species:S:1:pos:R:3 pbc="T T T"
Mn -1.484 0.000 3.830
Mn -3.790 1.749 9.208
Ga -1.692 0.000 8.897
Ga 0.614 1.749 3.519
Co 1.153 0.000 5.120
Co -1.153 1.749 10.499
Se 0.221 0.000 0.205
Se -2.085 1.749 5.583
Se 0.400 0.000 7.346
Se 2.706 1.749 1.967
```

Compound: CrPt4Cl
Source: the Alexandria database
Functional: GGA-PBE
Structure: optimized geometry

- ΔE_f (raw) (meV/atom) = 357.7
- space group = F-43m (216)
- total magnetic moment (μB per cell) = 3.329
- DFT total energy (eV/atom) = -5.58

Geometry as extended XYZ:
```
6
Lattice="-4.898 -1.898 0.816 -3.012 2.003 3.896 -4.238 2.983 -1.183" Properties=species:S:1:pos:R:3 pbc="T T T"
Cr 0.000 0.000 0.000
Pt -7.006 0.207 1.731
Pt -6.675 2.651 0.730
Pt -6.061 2.160 3.273
Pt -4.553 1.158 1.323
Cl -9.111 2.316 2.646
```

Compound: SiB2Pd8
Source: the Alexandria database
Functional: GGA-PBE
Structure: optimized geometry

- ΔE_f (raw) (meV/atom) = -270.8
- space group = C2/m (12)
- total magnetic moment (μB per cell) = 0.000
- DFT total energy (eV/atom) = -5.75

Geometry as extended XYZ:
```
11
Lattice="-3.935 -0.801 -1.351 2.060 -1.976 -4.828 1.121 -4.252 5.901" Properties=species:S:1:pos:R:3 pbc="T T T"
Si -1.968 -0.400 -0.676
B -1.838 -4.350 1.287
B 1.082 -2.679 -1.565
Pd 0.361 -4.735 1.755
Pd -2.212 -2.286 1.153
Pd -1.132 -4.633 -0.600
Pd -2.327 -5.123 3.170
Pd 0.377 -2.396 0.321
Pd 1.457 -4.743 -1.432
Pd -1.116 -2.294 -2.033
Pd 1.572 -1.906 -3.448
```